No. 1
NaSc2Zn2: optimized geometry, GGA-PBE.

The theoretical density comes out at 3765 kg/m³. As for the excess energy over the best structure of this formula in the dataset: 0.205 eV/f.u. The value obtained for the formation energy is -0.035 eV/atom. Its calculated volume is 21.50 A^3/atom. For the density of states at the Fermi level, the calculation gives 5.0 states/eV/f.u.

a b c (Å): 8.3044 8.3044 3.1171
angles (deg): 90.00 90.00 90.00
Space group P4/mbm (No. 127)
Symmetry-distinct sites (fractional):
1 Na 0.0000 0.0000 0.0000 (multiplicity 2)
2 Sc 0.1310 0.3690 0.0000 (multiplicity 4)
3 Zn 0.1643 0.6643 0.5000 (multiplicity 4)

---

No. 2
Na2ScZn2: optimized geometry, GGA-PBE.

The theoretical density comes out at 3333 kg/m³. As for the excess energy over the best structure of this formula in the dataset: 0.000 eV/f.u. The value obtained for the formation energy is 0.126 eV/atom. Its calculated volume is 22.09 A^3/atom. For the density of states at the Fermi level, the calculation gives 3.9 states/eV/f.u.

a b c (Å): 3.9520 3.9520 14.1462
angles (deg): 90.00 90.00 90.00
Space group I4/mmm (No. 139)
Symmetry-distinct sites (fractional):
1 Na 0.0000 0.5000 0.2500 (multiplicity 4)
2 Sc 0.0000 0.0000 0.0000 (multiplicity 2)
3 Zn 0.0000 0.0000 0.4129 (multiplicity 4)